10
Lattice="-4.441 3.325 -0.453 -3.009 -4.279 -1.902 -0.841 -0.721 2.951" Properties=species:S:1:pos:R:3 comment="AlH2Ru2, optimized geometry, DFT GGA-PBE" dos_ef_per_ev_cell=5.27 energy_ev_per_atom=-5.796 m_tot_mub_per_fu=0.0 de_polymorph_mev_per_atom=157 pbc="T T T"
Ru -3.229 -2.667 0.112
Ru -5.901 -1.646 -0.399
Ru -5.062 0.992 0.484
Ru -2.390 -0.029 0.995
Al 0.000 0.000 0.000
Al -3.725 -0.477 -1.178
H -3.563 -2.403 -1.602
H -5.625 -0.516 -1.728
H -3.887 1.449 -0.753
H -1.825 -0.438 -0.627